1.
First-principles (PBE) data for a geometry-optimized TlAg2Rh structure, as listed in Alexandria.

Calculated values
E above lowest polymorph (eV/atom): 0.072
Calculated formation energy (eV/atom): 0.16

Cell: 4.681 4.681 4.681 Å, 60.00 60.00 60.00°
Positions (direct):
Ag 0.750 0.750 0.750
Ag 0.000 0.000 0.000
Rh 0.500 0.500 0.500
Tl 0.250 0.250 0.250

---

2.
First-principles (PBE) data for a geometry-optimized TlAgRh2 structure, as listed in Alexandria.

Calculated values
E above lowest polymorph (eV/atom): 0.073
Calculated formation energy (eV/atom): 0.25

Cell: 2.958 2.958 8.122 Å, 90.00 90.00 90.00°
Each line ends with the local moment (μB).
Positions (direct):
Rh 0.000 0.000 0.020  0.77
Rh 0.500 0.500 0.223  0.54
Ag 0.500 0.500 0.777  0.01
Tl 0.000 0.000 0.480  0.00

---

3.
First-principles (PBE) data for a geometry-optimized TlAg2Rh structure, as listed in Alexandria.

Calculated values
E above lowest polymorph (eV/atom): 0.188
Calculated formation energy (eV/atom): 0.28

Cell: 3.913 3.913 10.627 Å, 79.39 79.39 90.00°
Positions (direct):
Ag 0.375 0.383 0.750
Ag 0.875 0.867 0.750
Ag 0.133 0.625 0.250
Ag 0.617 0.125 0.250
Tl 0.750 0.250 0.500
Tl 0.000 0.000 0.000
Rh 0.250 0.750 0.500
Rh 0.500 0.500 0.000

---

4.
First-principles (PBE) data for a geometry-optimized TlAg2Rh structure, as listed in Alexandria.

Calculated values
E above lowest polymorph (eV/atom): 0.050
Calculated formation energy (eV/atom): 0.14

Cell: 5.558 5.558 4.671 Å, 71.26 71.26 32.81°
Positions (direct):
Tl 0.500 0.500 0.000
Ag 0.263 0.263 0.737
Ag 0.737 0.737 0.263
Rh 0.000 0.000 0.500

---

5.
First-principles (PBE) data for a geometry-optimized TlAgRh2 structure, as listed in Alexandria.

Calculated values
E above lowest polymorph (eV/atom): 0.127
Calculated formation energy (eV/atom): 0.30

Cell: 3.021 4.669 4.870 Å, 90.00 90.00 90.00°
Positions (direct):
Rh 0.500 0.000 0.500
Rh 0.000 0.000 0.000
Ag 0.000 0.500 0.500
Tl 0.500 0.500 0.000

---

6.
First-principles (PBE) data for a geometry-optimized TlAgRh2 structure, as listed in Alexandria.

Calculated values
E above lowest polymorph (eV/atom): 0.058
Calculated formation energy (eV/atom): 0.23

Cell: 4.979 4.979 4.920 Å, 78.99 78.99 35.03°
Positions (direct):
Rh 0.258 0.258 0.241
Rh 0.991 0.991 0.005
Ag 0.744 0.744 0.764
Tl 0.506 0.506 0.490

---

7.
First-principles (PBE) data for a geometry-optimized TlAgRh structure, as listed in Alexandria.

Calculated values
E above lowest polymorph (eV/atom): 0.150
Calculated formation energy (eV/atom): 0.26

Cell: 4.502 4.502 4.502 Å, 60.00 60.00 60.00°
Positions (direct):
Rh 0.250 0.250 0.250
Ag 0.500 0.500 0.500
Tl 0.000 0.000 0.000

---

8.
First-principles (PBE) data for a geometry-optimized Tl2AgRh structure, as listed in Alexandria.

Calculated values
E above lowest polymorph (eV/atom): 0.183
Calculated formation energy (eV/atom): 0.30

Cell: 9.652 9.652 9.652 Å, 19.46 19.46 19.46°
Positions (direct):
Rh 0.248 0.248 0.248
Tl 0.988 0.988 0.988
Tl 0.755 0.755 0.755
Ag 0.508 0.508 0.508

---

9.
First-principles (PBE) data for a geometry-optimized TlAgRh structure, as listed in Alexandria.

Calculated values
E above lowest polymorph (eV/atom): 0.000
Calculated formation energy (eV/atom): 0.11

Cell: 3.190 4.609 7.656 Å, 90.00 102.02 90.00°
Positions (direct):
Rh 0.429 0.250 0.857
Rh 0.571 0.750 0.143
Tl 0.910 0.750 0.821
Tl 0.090 0.250 0.179
Ag 0.232 0.750 0.464
Ag 0.768 0.250 0.536

---

10.
First-principles (PBE) data for a geometry-optimized Tl2AgRh structure, as listed in Alexandria.

Calculated values
E above lowest polymorph (eV/atom): 0.228
Calculated formation energy (eV/atom): 0.34

Cell: 4.911 4.911 4.911 Å, 60.00 60.00 60.00°
Positions (direct):
Rh 0.250 0.250 0.250
Ag 0.500 0.500 0.500
Tl 0.000 0.000 0.000
Tl 0.750 0.750 0.750

---

11.
First-principles (PBE) data for a geometry-optimized TlAg2Rh structure, as listed in Alexandria.

Calculated values
E above lowest polymorph (eV/atom): 0.073
Calculated formation energy (eV/atom): 0.16

Cell: 3.081 3.975 6.003 Å, 90.00 90.00 90.00°
Positions (direct):
Tl 0.500 0.500 0.726
Ag 0.000 0.000 0.020
Ag 0.500 0.500 0.247
Rh 0.000 0.000 0.507

---

12.
First-principles (PBE) data for a geometry-optimized TlAgRh2 structure, as listed in Alexandria.

Calculated values
E above lowest polymorph (eV/atom): 0.058
Calculated formation energy (eV/atom): 0.23

Cell: 4.937 4.937 4.937 Å, 130.48 130.48 72.64°
Positions (direct):
Tl 0.500 0.500 0.000
Rh 0.250 0.750 0.500
Rh 0.000 0.000 0.000
Ag 0.750 0.250 0.500